[1]
Computed, not measured: an optimized crystal structure of Sr2MgZn2Sn2P4O16 at the PBE level of DFT.

Cell and atoms, written as POSCAR:
```
Sr2MgZn2Sn2P4O16
1.0
5.6934 0.0000 0.0000
0.5847 7.8422 0.0000
2.3634 2.5747 9.0813
Sr Mg Zn Sn P O
2 1 2 2 4 16
direct
0.1220 0.2426 0.0251
0.8780 0.7574 0.9749
0.0000 0.5000 0.5000
0.0496 0.9331 0.3965
0.9504 0.0669 0.6035
0.4085 0.6785 0.5743
0.5915 0.3215 0.4257
0.2620 0.5744 0.2267
0.4007 0.9796 0.7559
0.5993 0.0204 0.2441
0.7380 0.4256 0.7733
0.0918 0.6971 0.3151
0.1388 0.5337 0.1167
0.2204 0.0134 0.8889
0.2519 0.3941 0.3638
0.3027 0.8021 0.7426
0.3345 0.0460 0.2271
0.3815 0.1217 0.6076
0.4764 0.3691 0.8284
0.5236 0.6309 0.1716
0.6185 0.8783 0.3924
0.6655 0.9540 0.7729
0.6973 0.1979 0.2574
0.7481 0.6059 0.6362
0.7796 0.9866 0.1111
0.8612 0.4663 0.8833
0.9082 0.3029 0.6849
```

Values from the calculation:
Total magnetic moment in μB/atom: 0.000
N(E_F) in states/eV/f.u.: 0.0
Uncorrected formation energy in eV/f.u.: -58.3
Energy in eV/cell: -174.78
Energy above the lowest structure with this stoichiometry in meV per atom: 49



[2]
Computed, not measured: an optimized crystal structure of Sr2MgZn2Sn2P4O16 at the PBE level of DFT.

Cell and atoms, written as POSCAR:
```
Sr2MgZn2Sn2P4O16
1.0
5.5299 0.0000 0.0000
-0.9270 6.4757 0.0000
-1.4189 -2.8776 12.0239
Sr Mg Zn Sn P O
2 1 2 2 4 16
direct
0.0000 0.0000 0.0000
0.4936 0.4200 0.9201
0.5800 0.7390 0.1991
0.8307 0.7025 0.7175
0.8976 0.9028 0.4376
0.0355 0.3402 0.2986
0.4500 0.1126 0.6164
0.0855 0.6042 0.1304
0.4182 0.8188 0.7801
0.5037 0.2058 0.1752
0.9845 0.2383 0.7396
0.0002 0.3616 0.1150
0.0100 0.2614 0.8660
0.1607 0.7568 0.8134
0.2078 0.6878 0.2542
0.2306 0.3322 0.7063
0.2588 0.1226 0.2145
0.2937 0.6591 0.0615
0.4577 0.7110 0.6609
0.4591 0.1714 0.0474
0.4640 0.0628 0.7869
0.6085 0.4411 0.2359
0.6258 0.7662 0.8617
0.6961 0.0662 0.2105
0.7786 0.3697 0.7012
0.8536 0.6994 0.0958
0.8934 0.0044 0.6709
```

Values from the calculation:
Total magnetic moment in μB/atom: 0.000
N(E_F) in states/eV/f.u.: 0.0
Uncorrected formation energy in eV/f.u.: -58.5
Energy in eV/cell: -174.94
Energy above the lowest structure with this stoichiometry in meV per atom: 44



[3]
Computed, not measured: an optimized crystal structure of Sr2MgZn2Sn2P4O16 at the PBE level of DFT.

Cell and atoms, written as POSCAR:
```
Sr2MgZn2Sn2P4O16
1.0
5.7269 0.0000 0.0000
0.3886 8.2928 0.0000
2.4573 2.9451 8.7270
Sr Mg Zn Sn P O
2 1 2 2 4 16
direct
0.0000 0.0000 0.0000
0.1464 0.4535 0.0098
0.5658 0.6633 0.0820
0.9456 0.0623 0.4415
0.9821 0.4412 0.6255
0.3341 0.9883 0.5328
0.5481 0.6593 0.4860
0.2148 0.7649 0.2734
0.4489 0.2364 0.7347
0.6252 0.2848 0.2131
0.7809 0.7127 0.7898
0.0496 0.9153 0.2768
0.1714 0.6229 0.4316
0.1943 0.7015 0.1397
0.3341 0.3857 0.6281
0.3355 0.2220 0.9030
0.3633 0.2916 0.2057
0.3658 0.0643 0.7214
0.4973 0.8090 0.2320
0.5239 0.6324 0.8809
0.6419 0.1579 0.3802
0.7232 0.4651 0.1956
0.7288 0.2619 0.6859
0.7852 0.8414 0.6331
0.8064 0.2217 0.0939
0.8532 0.7896 0.9051
0.9607 0.5682 0.7733
```

Values from the calculation:
Total magnetic moment in μB/atom: 0.000
N(E_F) in states/eV/f.u.: 0.0
Uncorrected formation energy in eV/f.u.: -58.4
Energy in eV/cell: -174.89
Energy above the lowest structure with this stoichiometry in meV per atom: 46